! Tb5Pm3Er, optimized geometry, DFT GGA-PBE; values from VASP
&SYSTEM
  ibrav = 0, nat = 18, ntyp = 3
/
ATOMIC_SPECIES
Tb 158.93 Tb.upf
Pm 145.00 Pm.upf
Er 167.26 Er.upf
CELL_PARAMETERS angstrom
-1.712 -6.119 5.990
-1.962 -5.666 -6.348
9.259 3.586 -0.056
ATOMIC_POSITIONS crystal
Tb 0.428 0.348 0.276
Pm 0.117 0.383 0.000
Pm 0.250 0.250 0.500
Tb 0.500 0.500 0.000
Tb 0.000 0.000 0.000
Tb 0.848 0.928 0.276
Pm 0.383 0.883 0.000
Pm 0.617 0.117 0.000
Tb 0.572 0.652 0.724
Tb 0.152 0.072 0.724
Pm 0.883 0.617 0.000
Tb 0.348 0.848 0.276
Pm 0.750 0.750 0.500
Tb 0.072 0.572 0.724
Tb 0.652 0.152 0.724
Er 0.750 0.250 0.500
Tb 0.928 0.428 0.276
Er 0.250 0.750 0.500
! Calculated total energy = -4.389 eV/atom
! Energy of formation = 0.273 eV per atom
! Mass density = 7.82 Mg/m³